A relaxed NaLa2GaN crystal, computed with PBE.

Properties
Fermi-level density of states	3.99	states/eV/cell
energy relative to the elements, uncorrected	-0.582	eV/atom

Lattice parameters (Å, degrees): 5.0345 5.0345 4.7514 90.00 90.00 90.00
Closest atoms and distances in Å follow each position.
Atoms (fractional coordinates):
Na (0.0000, 0.0000, 0.0000)  2 N 2.38
La (0.0000, 0.5000, 0.5000)  2 N 2.52
La (0.5000, 0.0000, 0.5000)  2 N 2.52
Ga (0.5000, 0.5000, 0.0000)  8 La 3.46, 4 Na 3.56
N (0.0000, 0.0000, 0.5000)  2 Na 2.38, 4 La 2.52